Density functional theory data (PBE) for crystalline Tb6Pb3C2 at its relaxed geometry.

Properties
DFT formation energy = -0.37 eV/atom
VASP energy = -61.4 eV per cell

Cell: 13.1112 13.1112 13.1112 Å, 158.75 158.75 30.23°
Closest atoms and distances in Å follow each position.
Sites, in units of the cell vectors:
Tb 0.0844 0.5844 0.5000  2 C 2.47
Tb 0.1941 0.1941 0.0000  1 C 2.28
Tb 0.4156 0.9156 0.5000  2 C 2.47
Tb 0.5844 0.0844 0.5000  2 C 2.47
Tb 0.8059 0.8059 0.0000  1 C 2.28
Tb 0.9156 0.4156 0.5000  2 C 2.47
Pb 0.3218 0.3218 0.0000  9 Tb 3.23-3.44
Pb 0.5000 0.5000 0.0000  8 Tb 3.23
Pb 0.6782 0.6782 0.0000  9 Tb 3.23-3.44
C 0.1038 0.1038 0.0000  5 Tb 2.28-2.47
C 0.8962 0.8962 0.0000  5 Tb 2.28-2.47